VASP calculation (GGA-PBE) on an optimized crystal structure of CaHg2MoI.

Geometry as CIF:
```
data_CaHg2MoI
_chemical_formula_sum 'Ca1 Hg2 Mo1 I1'
_cell_length_a 6.247
_cell_length_b 6.247
_cell_length_c 5.183
_cell_angle_alpha 90.00
_cell_angle_beta 90.00
_cell_angle_gamma 90.00
_symmetry_space_group_name_H-M 'P 4/m m m'
_symmetry_Int_Tables_number 123
_symmetry_space_group_name_Hall '-P 4 2'
loop_
_atom_site_label
_atom_site_type_symbol
_atom_site_fract_x
_atom_site_fract_y
_atom_site_fract_z
Ca1 Ca 0.000 0.000 0.000
Hg1 Hg 0.000 0.500 0.500
Mo1 Mo 0.500 0.500 0.000
I1 I 0.500 0.500 0.500
```

Results
The formation energy without anion corrections comes out at 22.5 kcal/mol of atoms.



VASP calculation (GGA-PBE) on an optimized crystal structure of K8RbNa4.

Geometry as CIF:
```
data_K8RbNa4
_chemical_formula_sum 'K16 Rb2 Na8'
_cell_length_a 14.398
_cell_length_b 14.398
_cell_length_c 7.833
_cell_angle_alpha 90.00
_cell_angle_beta 90.00
_cell_angle_gamma 90.00
_symmetry_space_group_name_H-M 'I 4/m m m'
_symmetry_Int_Tables_number 139
_symmetry_space_group_name_Hall '-I 4 2'
loop_
_atom_site_label
_atom_site_type_symbol
_atom_site_fract_x
_atom_site_fract_y
_atom_site_fract_z
K1 K 0.000 0.213 0.000
K2 K 0.000 0.344 0.500
Rb1 Rb 0.000 0.000 0.500
Na1 Na 0.250 0.250 0.250
```

Results
The value obtained for the formation energy is 0.021 eV per atom.



VASP calculation (GGA-PBE) on an optimized crystal structure of Al2ReW.

Geometry as CIF:
```
data_Al2ReW
_chemical_formula_sum 'Al4 Re2 W2'
_cell_length_a 3.171
_cell_length_b 4.453
_cell_length_c 8.533
_cell_angle_alpha 90.00
_cell_angle_beta 90.00
_cell_angle_gamma 90.00
_symmetry_space_group_name_H-M 'C m m m'
_symmetry_Int_Tables_number 65
_symmetry_space_group_name_Hall '-C 2 2'
loop_
_atom_site_label
_atom_site_type_symbol
_atom_site_fract_x
_atom_site_fract_y
_atom_site_fract_z
Al1 Al 0.000 0.000 0.246
Re1 Re 0.000 0.500 0.000
W1 W 0.000 0.500 0.500
```

Results
Its energy above the most stable polymorph in this dataset is 0.99 eV per formula unit. The value obtained for the formation energy is -0.009 eV per atom.



VASP calculation (GGA-PBE) on an optimized crystal structure of Gd2NiPt.

Geometry as CIF:
```
data_Gd2NiPt
_chemical_formula_sum 'Gd2 Ni1 Pt1'
_cell_length_a 4.929
_cell_length_b 4.929
_cell_length_c 3.476
_cell_angle_alpha 90.00
_cell_angle_beta 90.00
_cell_angle_gamma 90.00
_symmetry_space_group_name_H-M 'P 4/m m m'
_symmetry_Int_Tables_number 123
_symmetry_space_group_name_Hall '-P 4 2'
loop_
_atom_site_label
_atom_site_type_symbol
_atom_site_fract_x
_atom_site_fract_y
_atom_site_fract_z
Gd1 Gd 0.000 0.500 0.000
Ni1 Ni 0.000 0.000 0.500
Pt1 Pt 0.500 0.500 0.500
```

Results
Its energy above the most stable polymorph in this dataset is 0.01 eV per formula unit. The value obtained for the formation energy is -0.749 eV per atom.



VASP calculation (GGA-PBE) on an optimized crystal structure of KPr2PtO5.

Geometry as CIF:
```
data_KPr2PtO5
_chemical_formula_sum 'K2 Pr4 Pt2 O10'
_cell_length_a 6.927
_cell_length_b 6.927
_cell_length_c 5.920
_cell_angle_alpha 90.00
_cell_angle_beta 90.00
_cell_angle_gamma 90.00
_symmetry_space_group_name_H-M 'P 4/m b m'
_symmetry_Int_Tables_number 127
_symmetry_space_group_name_Hall '-P 4 2ab'
loop_
_atom_site_label
_atom_site_type_symbol
_atom_site_fract_x
_atom_site_fract_y
_atom_site_fract_z
K1 K 0.000 0.000 0.000
Pr1 Pr 0.178 0.322 0.500
Pt1 Pt 0.000 0.500 0.000
O1 O 0.000 0.000 0.500
O2 O 0.133 0.633 0.254
```

Results
The formation energy without anion corrections comes out at -51.5 kcal/mol of atoms.



VASP calculation (GGA-PBE) on an optimized crystal structure of La2TbPm4Ho.

Geometry as CIF:
```
data_La2TbPm4Ho
_chemical_formula_sum 'La2 Tb1 Pm4 Ho1'
_cell_length_a 5.144
_cell_length_b 5.161
_cell_length_c 10.364
_cell_angle_alpha 90.00
_cell_angle_beta 90.12
_cell_angle_gamma 90.00
_symmetry_space_group_name_H-M 'P 1 2/m 1'
_symmetry_Int_Tables_number 10
_symmetry_space_group_name_Hall '-P 2y'
loop_
_atom_site_label
_atom_site_type_symbol
_atom_site_fract_x
_atom_site_fract_y
_atom_site_fract_z
La1 La 0.000 0.000 0.000
La2 La 0.500 0.500 0.500
Tb1 Tb 0.000 0.000 0.500
Pm1 Pm 0.001 0.500 0.751
Pm2 Pm 0.500 0.000 0.250
Ho1 Ho 0.500 0.500 0.000
```

Results
The value obtained for the formation energy is 0.024 eV per atom.



VASP calculation (GGA-PBE) on an optimized crystal structure of Mg2CdW.

Geometry as CIF:
```
data_Mg2CdW
_chemical_formula_sum 'Mg2 Cd1 W1'
_cell_length_a 2.863
_cell_length_b 2.863
_cell_length_c 9.243
_cell_angle_alpha 90.00
_cell_angle_beta 90.00
_cell_angle_gamma 90.00
_symmetry_space_group_name_H-M 'P 4/m m m'
_symmetry_Int_Tables_number 123
_symmetry_space_group_name_Hall '-P 4 2'
loop_
_atom_site_label
_atom_site_type_symbol
_atom_site_fract_x
_atom_site_fract_y
_atom_site_fract_z
Mg1 Mg 0.000 0.000 0.233
Cd1 Cd 0.500 0.500 0.500
W1 W 0.500 0.500 0.000
```

Results
The value obtained for the formation energy is 0.234 eV per atom.



VASP calculation (GGA-PBE) on an optimized crystal structure of Mg2FeCu.

Geometry as CIF:
```
data_Mg2FeCu
_chemical_formula_sum 'Mg8 Fe4 Cu4'
_cell_length_a 7.040
_cell_length_b 7.040
_cell_length_c 5.436
_cell_angle_alpha 90.00
_cell_angle_beta 90.00
_cell_angle_gamma 90.00
_symmetry_space_group_name_H-M 'I -4 2 d'
_symmetry_Int_Tables_number 122
_symmetry_space_group_name_Hall 'I -4 2bw'
loop_
_atom_site_label
_atom_site_type_symbol
_atom_site_fract_x
_atom_site_fract_y
_atom_site_fract_z
Mg1 Mg 0.237 0.250 0.125
Fe1 Fe 0.000 0.000 0.500
Cu1 Cu 0.000 0.000 0.000
```

Results
The value obtained for the formation energy is 0.468 eV per atom.



VASP calculation (GGA-PBE) on an optimized crystal structure of Li2Y3Pd3.

Geometry as CIF:
```
data_Li2Y3Pd3
_chemical_formula_sum 'Li4 Y6 Pd6'
_cell_length_a 8.3932
_cell_length_b 8.3932
_cell_length_c 5.5495
_cell_angle_alpha 90.00
_cell_angle_beta 90.00
_cell_angle_gamma 120.00
_symmetry_space_group_name_H-M 'P 63/m c m'
_symmetry_Int_Tables_number 193
_symmetry_space_group_name_Hall '-P 6c 2'
loop_
_atom_site_label
_atom_site_type_symbol
_atom_site_fract_x
_atom_site_fract_y
_atom_site_fract_z
Li1 Li 0.3333 0.6667 0.0000
Y1 Y 0.0000 0.2622 0.2500
Pd1 Pd 0.0000 0.3949 0.7500
```

Results
The value obtained for the formation energy is -0.635 eV per atom.



VASP calculation (GGA-PBE) on an optimized crystal structure of ErPaAl.

Geometry as CIF:
```
data_ErPaAl
_chemical_formula_sum 'Er2 Pa2 Al2'
_cell_length_a 3.187
_cell_length_b 3.187
_cell_length_c 14.127
_cell_angle_alpha 90.00
_cell_angle_beta 90.00
_cell_angle_gamma 90.00
_symmetry_space_group_name_H-M 'I 4 m m'
_symmetry_Int_Tables_number 107
_symmetry_space_group_name_Hall 'I 4 -2'
loop_
_atom_site_label
_atom_site_type_symbol
_atom_site_fract_x
_atom_site_fract_y
_atom_site_fract_z
Er1 Er 0.000 0.000 0.000
Pa1 Pa 0.000 0.000 0.692
Al1 Al 0.000 0.000 0.345
```

Results
Its energy above the most stable polymorph in this dataset is 0.00 eV per formula unit. The value obtained for the formation energy is -0.068 eV per atom.



VASP calculation (GGA-PBE) on an optimized crystal structure of Y2Pd8Pt.

Geometry as CIF:
```
data_Y2Pd8Pt
_chemical_formula_sum 'Y4 Pd16 Pt2'
_cell_length_a 14.513
_cell_length_b 4.239
_cell_length_c 6.526
_cell_angle_alpha 90.00
_cell_angle_beta 108.10
_cell_angle_gamma 90.00
_symmetry_space_group_name_H-M 'C 1 2/m 1'
_symmetry_Int_Tables_number 12
_symmetry_space_group_name_Hall '-C 2y'
loop_
_atom_site_label
_atom_site_type_symbol
_atom_site_fract_x
_atom_site_fract_y
_atom_site_fract_z
Y1 Y 0.216 0.000 0.166
Pd1 Pd 0.034 0.000 0.228
Pd2 Pd 0.091 0.500 0.936
Pd3 Pd 0.141 0.000 0.676
Pd4 Pd 0.167 0.500 0.397
Pt1 Pt 0.000 0.500 0.500
```

Results
The value obtained for the formation energy is -0.499 eV per atom.



VASP calculation (GGA-PBE) on an optimized crystal structure of Pr6Sb5P.

Geometry as CIF:
```
data_Pr6Sb5P
_chemical_formula_sum 'Pr12 Sb10 P2'
_cell_length_a 7.804
_cell_length_b 13.497
_cell_length_c 7.793
_cell_angle_alpha 90.00
_cell_angle_beta 109.51
_cell_angle_gamma 90.00
_symmetry_space_group_name_H-M 'C 1 2/m 1'
_symmetry_Int_Tables_number 12
_symmetry_space_group_name_Hall '-C 2y'
loop_
_atom_site_label
_atom_site_type_symbol
_atom_site_fract_x
_atom_site_fract_y
_atom_site_fract_z
Pr1 Pr 0.238 0.000 0.255
Pr2 Pr 0.240 0.160 0.741
Sb1 Sb 0.000 0.171 0.000
Sb2 Sb 0.000 0.334 0.500
Sb3 Sb 0.000 0.500 0.000
P1 P 0.000 0.000 0.500
```

Results
The formation energy without anion corrections comes out at -28.2 kcal/mol of atoms.